Run P
The following is a DFT calculation (PBEsol) of crystalline Ir2WAu at its relaxed geometry.

Properties
Crystal system   tetragonal
SG   P4/mmm, No. 123

Structure (POSCAR):
```
Ir2WAu
1.0
-2.5630 1.6627 1.2288
-0.4240 -2.3383 2.2795
3.4713 2.7721 3.4893
Au Ir W
1 2 1
Direct
0.5000 0.5000 0.5000
0.0000 0.0000 0.7590
0.0000 0.0000 0.2410
0.5000 0.5000 0.0000
```


Run Q
The following is a DFT calculation (PBEsol) of crystalline Ir2WAu at its relaxed geometry.

Properties
Crystal system   tetragonal
SG   I4/mmm, No. 139

Structure (POSCAR):
```
Ir2WAu
1.0
-1.3388 -2.5734 -2.6996
-1.2990 -2.3670 2.9005
-2.0395 4.2616 -0.1425
Au Ir W
1 2 1
Direct
0.0000 0.0000 0.0000
0.2500 0.7500 0.5000
0.7500 0.2500 0.5000
0.5000 0.5000 0.0000
```


Verdict on stability: run P comes out at the bottom.


Run P
The following is a DFT calculation (PBEsol) of crystalline YIrAu2 at its relaxed geometry.

Properties
Crystal system   monoclinic
SG   P2/m, No. 10

Structure (POSCAR):
```
YIrAu2
1.0
-0.9433 0.7947 2.8770
-3.3986 -3.1379 -0.2476
3.5230 -3.8764 0.7693
Au Ir Y
2 1 1
Direct
0.6405 0.0000 0.7670
0.3595 0.0000 0.2330
0.5000 0.5000 0.0000
0.0000 0.5000 0.5000
```


Run Q
The following is a DFT calculation (PBEsol) of crystalline YIrAu2 at its relaxed geometry.

Properties
Crystal system   orthorhombic
SG   Pmm2, No. 25

Structure (POSCAR):
```
YIrAu2
1.0
-3.0156 -1.2691 0.1321
0.3546 -1.2189 -3.6137
2.1962 -5.0198 1.9087
Au Ir Y
2 1 1
Direct
0.5000 0.0000 0.0164
0.0000 0.5000 0.2495
0.5000 0.0000 0.4964
0.0000 0.5000 0.7377
```


Verdict on stability: run P comes out at the bottom.


Run P
The following is a DFT calculation (PBEsol) of crystalline ZrIrAu at its relaxed geometry.

Properties
Crystal system   cubic
SG   F-43m, No. 216

Structure (POSCAR):
```
ZrIrAu
1.0
-2.9115 -0.6436 -3.2565
-4.2381 -0.7922 0.9522
-3.0649 3.0604 -0.8580
Au Ir Zr
1 1 1
Direct
0.0000 0.0000 0.0000
0.5000 0.5000 0.5000
0.2500 0.2500 0.2500
```


Run Q
The following is a DFT calculation (PBEsol) of crystalline ZrIrAu at its relaxed geometry.

Properties
Crystal system   trigonal
SG   P3m1, No. 156

Structure (POSCAR):
```
ZrIrAu
1.0
2.8766 0.0000 0.0000
-1.4383 2.4912 0.0000
0.0000 0.0000 7.0785
Au Ir Zr
1 1 1
Direct
0.0000 0.0000 0.9960
0.3333 0.6667 0.6609
0.6667 0.3333 0.3431
```


Verdict on stability: run P comes out at the bottom.


Run P
The following is a DFT calculation (PBEsol) of crystalline K3Au2 at its relaxed geometry.

Properties
Crystal system   monoclinic
SG   P2_1/c, No. 14

Structure (POSCAR):
```
K3Au2
1.0
5.0939 0.0041 -0.4757
2.5529 5.7771 -0.2387
0.9875 0.0007 10.5653
Au K
4 6
Direct
0.0248 0.5502 0.1057
0.5251 0.5500 0.9943
0.8250 0.9500 0.4942
0.3250 0.9498 0.6057
0.4250 0.7501 0.2999
0.6098 0.3803 0.6782
0.7402 0.1197 0.1783
0.9250 0.7499 0.7999
0.2403 0.1194 0.9219
0.1098 0.3806 0.4219
```


Run Q
The following is a DFT calculation (PBEsol) of crystalline K3Au2 at its relaxed geometry.

Properties
Crystal system   trigonal
SG   R-3m, No. 166

Structure (POSCAR):
```
K3Au2
1.0
-3.7842 2.1156 1.4265
-3.5029 -2.4357 1.6212
2.0624 0.6337 11.8325
K Au
3 2
Direct
0.0000 0.0000 0.0000
0.7754 0.7754 0.6739
0.2246 0.2246 0.3261
0.3898 0.3898 0.8305
0.6102 0.6102 0.1695
```


Verdict on stability: run Q comes out at the bottom.


Run P
The following is a DFT calculation (PBEsol) of crystalline KAu3 at its relaxed geometry.

Properties
Crystal system   orthorhombic
SG   Immm, No. 71

Structure (POSCAR):
```
KAu3
1.0
-0.7950 -2.2983 -1.4130
4.0691 0.6826 -3.3998
1.5697 -2.2799 5.6244
Au K
3 1
Direct
0.7804 0.7804 0.5608
0.5000 0.0000 0.0000
0.2196 0.2196 0.4392
0.0000 0.5000 0.0000
```


Run Q
The following is a DFT calculation (PBEsol) of crystalline KAu3 at its relaxed geometry.

Properties
Crystal system   orthorhombic
SG   Cmmm, No. 65

Structure (POSCAR):
```
KAu3
1.0
-3.8318 1.3777 2.4597
-3.4622 -2.5607 -3.9592
0.2464 -6.9175 4.2585
Au K
6 2
Direct
0.5000 0.9996 0.0000
0.0000 0.0004 0.5000
0.0000 0.0000 0.8318
0.0000 0.0000 0.1682
0.5000 0.0000 0.3318
0.5000 0.0000 0.6682
0.0000 0.5001 0.0000
0.5000 0.4999 0.5000
```


Run R
The following is a DFT calculation (PBEsol) of crystalline KAu3 at its relaxed geometry.

Properties
Crystal system   orthorhombic
SG   Cmmm, No. 65

Structure (POSCAR):
```
KAu3
1.0
2.7919 0.0000 0.0000
0.0000 5.3735 0.0064
0.0000 -0.9398 5.2907
Au K
3 1
Direct
0.5000 0.0000 0.5000
0.5000 0.5000 0.0000
0.0000 0.5000 0.5000
0.0000 0.0000 0.0000
```


Run S
The following is a DFT calculation (PBEsol) of crystalline KAu3 at its relaxed geometry.

Properties
Crystal system   cubic
SG   Fm-3m, No. 225

Structure (POSCAR):
```
KAu3
1.0
-4.6013 0.8900 -1.2743
-1.7474 -1.7607 -4.1755
-3.2732 -3.5876 0.0581
Au K
3 1
Direct
0.2500 0.2500 0.2500
0.5000 0.5000 0.5000
0.7500 0.7500 0.7500
0.0000 0.0000 0.0000
```


Verdict on stability: run S comes out at the bottom.


Run P
The following is a DFT calculation (PBEsol) of crystalline K2Au3 at its relaxed geometry.

Properties
Crystal system   trigonal
SG   R-3m, No. 166

Structure (POSCAR):
```
K2Au3
1.0
-1.6053 -2.8655 3.2573
2.4554 -3.7270 1.2160
4.0440 2.1257 7.1477
K Au
2 3
Direct
0.5896 0.5896 0.2312
0.4104 0.4104 0.7688
0.0000 0.0000 0.0000
0.1654 0.1654 0.5039
0.8346 0.8346 0.4961
```


Run Q
The following is a DFT calculation (PBEsol) of crystalline K2Au3 at its relaxed geometry.

Properties
Crystal system   orthorhombic
SG   Immm, No. 71

Structure (POSCAR):
```
K2Au3
1.0
4.8234 0.0000 0.0000
0.0000 5.4347 0.0000
-2.4117 -2.7174 4.9788
K Au
2 3
Direct
0.6960 0.6960 0.3920
0.3040 0.3040 0.6080
0.5000 0.0000 0.0000
0.0000 0.2538 0.0000
0.0000 0.7462 0.0000
```


Verdict on stability: run P comes out at the bottom.


Run P
The following is a DFT calculation (PBEsol) of crystalline K5Au3 at its relaxed geometry.

Properties
Crystal system   orthorhombic
SG   Cmmm, No. 65

Structure (POSCAR):
```
K5Au3
1.0
-4.6701 -1.1466 -2.5790
2.0518 -6.6618 -0.7537
-3.3866 -0.0147 6.1391
Au K
3 5
Direct
0.0000 0.5000 0.5000
0.5000 0.7950 0.2050
0.5000 0.2050 0.7950
0.0000 0.0000 0.0000
0.0000 0.0000 0.5000
0.0000 0.5000 0.0000
0.5000 0.2990 0.2990
0.5000 0.7010 0.7010
```


Run Q
The following is a DFT calculation (PBEsol) of crystalline K5Au3 at its relaxed geometry.

Properties
Crystal system   hexagonal
SG   P6_3/mcm, No. 193

Structure (POSCAR):
```
K5Au3
1.0
6.7356 0.0000 0.0000
0.0000 9.6825 0.0000
0.0000 -4.8412 8.3853
Au K
6 10
Direct
0.7500 0.3961 0.3961
0.2500 0.6039 0.6039
0.7500 0.0000 0.6039
0.7500 0.6039 0.0000
0.2500 0.3961 0.0000
0.2500 0.0000 0.3961
0.0000 0.6667 0.3333
0.5000 0.3333 0.6667
0.0000 0.3333 0.6667
0.5000 0.6667 0.3333
0.7500 0.7379 0.7379
0.2500 0.2621 0.2621
0.7500 0.0000 0.2621
0.7500 0.2621 0.0000
0.2500 0.7379 0.0000
0.2500 0.0000 0.7379
```


Verdict on stability: run P comes out at the bottom.


Run P
The following is a DFT calculation (PBEsol) of crystalline KLaAu at its relaxed geometry.

Properties
Crystal system   cubic
SG   F-43m, No. 216

Structure (POSCAR):
```
KLaAu
1.0
-4.9522 -1.3002 -0.8240
-1.3302 -2.5356 -4.3237
-1.4519 -4.9721 0.2525
Au K La
1 1 1
Direct
0.2500 0.2500 0.2500
0.0000 0.0000 0.0000
0.5000 0.5000 0.5000
```


Run Q
The following is a DFT calculation (PBEsol) of crystalline KLaAu at its relaxed geometry.

Properties
Crystal system   tetragonal
SG   I4mm, No. 107

Structure (POSCAR):
```
KLaAu
1.0
-3.7354 -0.7297 -0.0351
0.7297 -3.7356 0.0072
1.4329 2.2333 7.4384
Au K La
1 1 1
Direct
0.9767 0.9767 0.9533
0.6372 0.6372 0.2744
0.3861 0.3861 0.7723
```


Verdict on stability: run P comes out at the bottom.